1.
BaHfCu2: relaxed, PBE.

Calculated values
- energy above the most stable polymorph in this dataset (eV/f.u.) = 0.00
- energy of formation (eV per atom) = 0.4822
- space-group type = Fm-3m

Cell lengths 5.0488, 5.0488, 5.0488 Å; angles 60.00, 60.00, 60.00 degrees
Last column: nearest neighbours and their distance in Å.
Fractional coordinates of all 4 atoms:
Hf  0.5000  0.5000  0.5000  8 Cu 3.09
Ba  0.0000  0.0000  0.0000  8 Cu 3.09
Cu  0.2500  0.2500  0.2500  4 Ba 3.09, 4 Hf 3.09
Cu  0.7500  0.7500  0.7500  4 Hf 3.09, 4 Ba 3.09

***

2.
BaHf3Cu: relaxed, PBE.

Calculated values
- energy above the most stable polymorph in this dataset (eV/f.u.) = 0.00
- energy of formation (eV per atom) = 0.6663
- space-group type = Pm-3m

Cell lengths 5.0808, 5.0808, 5.0808 Å; angles 90.00, 90.00, 90.00 degrees
Last column: nearest neighbours and their distance in Å.
Fractional coordinates of all 5 atoms:
Hf  0.0000  0.5000  0.0000  2 Cu 2.54
Hf  0.0000  0.0000  0.5000  2 Cu 2.54
Hf  0.5000  0.0000  0.0000  2 Cu 2.54
Ba  0.5000  0.5000  0.5000  12 Hf 3.59
Cu  0.0000  0.0000  0.0000  6 Hf 2.54

***

3.
BaHfCu3: relaxed, PBE.

Calculated values
- energy above the most stable polymorph in this dataset (eV/f.u.) = 5.80
- energy of formation (eV per atom) = 1.6559
- space-group type = Pm-3m

Cell lengths 5.1039, 5.1039, 5.1039 Å; angles 90.00, 90.00, 90.00 degrees
Last column: nearest neighbours and their distance in Å.
Fractional coordinates of all 5 atoms:
Hf  0.5000  0.5000  0.5000  12 Cu 3.61
Ba  0.0000  0.0000  0.0000  6 Cu 2.55
Cu  0.0000  0.5000  0.0000  2 Ba 2.55
Cu  0.0000  0.0000  0.5000  2 Ba 2.55
Cu  0.5000  0.0000  0.0000  2 Ba 2.55

***

4.
BaHf3Cu: relaxed, PBE.

Calculated values
- energy above the most stable polymorph in this dataset (eV/f.u.) = 8.23
- energy of formation (eV per atom) = 2.3120
- space-group type = Pm-3m

Cell lengths 5.2544, 5.2544, 5.2544 Å; angles 90.00, 90.00, 90.00 degrees
Last column: nearest neighbours and their distance in Å.
Fractional coordinates of all 5 atoms:
Hf  0.0000  0.5000  0.0000  2 Ba 2.63
Hf  0.0000  0.0000  0.5000  2 Ba 2.63
Hf  0.5000  0.0000  0.0000  2 Ba 2.63
Ba  0.0000  0.0000  0.0000  6 Hf 2.63
Cu  0.5000  0.5000  0.5000  12 Hf 3.72

***

5.
Ba2LiHfCu: relaxed, PBE.

Calculated values
- energy of formation (eV per atom) = 0.8176
- space-group type = P4/mmm

Cell lengths 6.2257, 4.2432, 6.2257 Å; angles 90.00, 90.00, 90.00 degrees
Last column: nearest neighbours and their distance in Å.
Fractional coordinates of all 5 atoms:
Hf  0.5000  0.5000  0.5000  8 Ba 3.77
Ba  0.0000  0.0000  0.5000  2 Li 3.11
Ba  0.5000  0.0000  0.0000  2 Li 3.11
Cu  0.0000  0.5000  0.0000  2 Li 2.12
Li  0.0000  0.0000  0.0000  2 Cu 2.12

***

6.
BaLiHf2Cu: relaxed, PBE.

Calculated values
- energy of formation (eV per atom) = 1.9601
- space-group type = P4/mmm

Cell lengths 5.3561, 4.6531, 5.3561 Å; angles 90.00, 90.00, 90.00 degrees
Last column: nearest neighbours and their distance in Å.
Fractional coordinates of all 5 atoms:
Hf  0.0000  0.0000  0.5000  2 Ba 2.68
Hf  0.5000  0.0000  0.0000  2 Ba 2.68
Ba  0.0000  0.0000  0.0000  2 Li 2.33
Cu  0.5000  0.5000  0.5000  8 Hf 3.55, 4 Li 3.79
Li  0.0000  0.5000  0.0000  2 Ba 2.33

***

7.
BaHf2CuN: relaxed, PBE.

Calculated values
- formation energy without anion corrections (eV/atom) = -0.10
- space-group type = P4/mmm

Cell lengths 4.3815, 5.6343, 4.3815 Å; angles 90.00, 90.00, 90.00 degrees
Last column: nearest neighbours and their distance in Å.
Fractional coordinates of all 5 atoms:
Hf  0.0000  0.0000  0.5000  2 N 2.19
Hf  0.5000  0.0000  0.0000  2 N 2.19
Ba  0.0000  0.5000  0.0000  2 N 2.82, 4 Cu 3.10
Cu  0.5000  0.5000  0.5000  4 Ba 3.10
N  0.0000  0.0000  0.0000  4 Hf 2.19

***

8.
Ba3HfCu2O8: relaxed, PBE.

Calculated values
- formation energy without anion corrections (eV/atom) = -2.00
- space-group type = P-3m1

Cell lengths 5.8679, 5.8679, 7.5981 Å; angles 90.00, 90.00, 120.00 degrees
Last column: nearest neighbours and their distance in Å.
Fractional coordinates of all 14 atoms:
Ba  0.3333  0.6667  0.6501  1 O 2.53
Ba  0.6667  0.3333  0.3499  1 O 2.53
Ba  0.0000  0.0000  0.0000  12 O 3.05-3.39
Hf  0.0000  0.0000  0.5000  6 O 2.08
Cu  0.3333  0.6667  0.2178  4 O 1.78-1.95
Cu  0.6667  0.3333  0.7822  4 O 1.78-1.95
O  0.3333  0.6667  0.9836  1 Cu 1.78
O  0.6667  0.3333  0.0164  1 Cu 1.78
O  0.1635  0.8365  0.3361  1 Cu 1.95, 1 Hf 2.08
O  0.8365  0.1635  0.6639  1 Cu 1.95, 1 Hf 2.08
O  0.1635  0.3269  0.3361  1 Cu 1.95, 1 Hf 2.08
O  0.8365  0.6731  0.6639  1 Cu 1.95, 1 Hf 2.08
O  0.6731  0.8365  0.3361  1 Cu 1.95, 1 Hf 2.08
O  0.3269  0.1635  0.6639  1 Cu 1.95, 1 Hf 2.08

***

9.
Ba3HfCu2S6: relaxed, PBE.

Calculated values
- formation energy without anion corrections (eV/atom) = -1.35
- space-group type = P-3m1

Cell lengths 7.2178, 7.2178, 7.8960 Å; angles 90.00, 90.00, 120.00 degrees
Last column: nearest neighbours and their distance in Å.
Fractional coordinates of all 12 atoms:
Ba  0.3333  0.6667  0.6381  1 Cu 3.08, 3 S 3.41
Ba  0.6667  0.3333  0.3619  1 Cu 3.08, 3 S 3.41
Ba  0.0000  0.0000  0.0000  6 S 3.12
Hf  0.0000  0.0000  0.5000  6 S 2.54
Cu  0.6667  0.3333  0.7514  3 S 2.20
Cu  0.3333  0.6667  0.2486  3 S 2.20
S  0.6785  0.8392  0.3030  1 Cu 2.20
S  0.1608  0.3215  0.3030  1 Cu 2.20
S  0.1608  0.8392  0.3030  1 Cu 2.20
S  0.8392  0.6785  0.6970  1 Cu 2.20
S  0.3215  0.1608  0.6970  1 Cu 2.20
S  0.8392  0.1608  0.6970  1 Cu 2.20

***

10.
Ba2HfCu2S6: relaxed, PBE.

Calculated values
- formation energy without anion corrections (eV/atom) = -1.19
- space-group type = C2/m

Cell lengths 6.4357, 7.0641, 7.8084 Å; angles 116.78, 90.00, 117.10 degrees
Last column: nearest neighbours and their distance in Å.
Fractional coordinates of all 11 atoms:
Ba  0.7168  0.4336  0.2092  7 S 3.17-3.41
Ba  0.2832  0.5664  0.7908  7 S 3.17-3.41
Hf  0.5000  0.0000  0.5000  6 S 2.51-2.56
Cu  0.9245  0.8489  0.7428  3 S 2.17-2.18
Cu  0.0755  0.1511  0.2572  3 S 2.17-2.18
S  0.7270  0.4539  0.6232  1 Cu 2.17
S  0.2044  0.8984  0.2098  1 Cu 2.18
S  0.3060  0.1016  0.7902  1 Cu 2.18
S  0.7956  0.1016  0.7902  1 Cu 2.18
S  0.6940  0.8984  0.2098  1 Cu 2.18
S  0.2730  0.5461  0.3768  1 Cu 2.17

***

11.
BaHfCuS4: relaxed, PBE.

Calculated values
- formation energy without anion corrections (eV/atom) = -1.23
- space-group type = P2_1/m

Cell lengths 6.4595, 5.7309, 8.5851 Å; angles 90.00, 108.57, 90.00 degrees
Last column: nearest neighbours and their distance in Å.
Fractional coordinates of all 14 atoms:
Ba  0.7542  0.7500  0.9450  6 S 3.05-3.34
Ba  0.2458  0.2500  0.0550  6 S 3.05-3.34
Hf  0.7355  0.7500  0.4429  6 S 2.53-2.71
Hf  0.2645  0.2500  0.5571  6 S 2.53-2.71
Cu  0.2443  0.7500  0.3217  4 S 2.24-2.27
Cu  0.7557  0.2500  0.6783  4 S 2.24-2.27
S  0.0231  0.5151  0.6944  1 Cu 2.27
S  0.9769  0.0151  0.3056  1 Cu 2.27
S  0.9769  0.4849  0.3056  1 Cu 2.27
S  0.0231  0.9849  0.6944  1 Cu 2.27
S  0.4482  0.7500  0.1539  1 Cu 2.24
S  0.5518  0.2500  0.8461  1 Cu 2.24
S  0.4516  0.7500  0.5898  1 Cu 2.26, 1 Hf 2.53
S  0.5484  0.2500  0.4102  1 Cu 2.26, 1 Hf 2.53

***

12.
BaHfCu2S4: relaxed, PBE.

Calculated values
- formation energy without anion corrections (eV/atom) = -1.16
- space-group type = I222

Cell lengths 6.1476, 6.4436, 6.4436 Å; angles 72.30, 61.51, 61.51 degrees
Last column: nearest neighbours and their distance in Å.
Fractional coordinates of all 8 atoms:
Ba  0.0000  0.0000  0.0000  8 S 3.32-3.35
Hf  0.5000  0.5000  0.5000  4 S 2.41
Cu  0.1501  0.3499  0.3499  2 S 2.19
Cu  0.8499  0.6501  0.6501  2 S 2.19
S  0.4523  0.1477  0.5045  1 Cu 2.19, 1 Hf 2.41
S  0.1045  0.8523  0.4955  1 Cu 2.19, 1 Hf 2.41
S  0.8955  0.5045  0.1477  1 Cu 2.19, 1 Hf 2.41
S  0.5477  0.4955  0.8523  1 Cu 2.19, 1 Hf 2.41

***

Number 1: M_tot 0.0 μB per formula unit. Number 2: M_tot 0.0 μB per formula unit. Number 3: M_tot 0.0 μB per formula unit. Number 4: M_tot 0.0 μB per formula unit. Number 5: M_tot 0.9 μB per formula unit. Number 6: M_tot 0.0 μB per formula unit. Number 7: M_tot 0.0 μB per formula unit. Number 8: M_tot 4.0 μB per formula unit. Number 9: M_tot 0.0 μB per formula unit. Number 10: M_tot 0.0 μB per formula unit. Number 11: M_tot 0.0 μB per formula unit. Number 12: M_tot 0.0 μB per formula unit.